# MoC PBE optimized geometry
# Excess energy over the best structure of this formula in the dataset: 560.4 meV/atom
# DOS at the Fermi energy: 3.4 states/eV/cell
# ρ: 6.6 Mg/m³
# Calculated volume: 163.0 Å³ per cell
# Uncorrected energy: -9.561 eV/atom
data_MoC
_chemical_formula_sum 'Mo6 C6'
_cell_length_a 3.376
_cell_length_b 10.384
_cell_length_c 4.651
_cell_angle_alpha 90.00
_cell_angle_beta 90.00
_cell_angle_gamma 90.00
_space_group_name_H-M_alt 'P m m n'
_space_group_IT_number 59
loop_
_space_group_symop_operation_xyz
'x,y,z'
'-x,-y,-z'
'-x+1/2,-y+1/2,z'
'x+1/2,y+1/2,-z'
'x+1/2,-y,-z'
'-x+1/2,y,z'
'-x,y+1/2,-z'
'x,-y+1/2,z'
loop_
_atom_site_label
_atom_site_type_symbol
_atom_site_fract_x
_atom_site_fract_y
_atom_site_fract_z
Mo1 Mo 0.250 0.107 0.032
Mo2 Mo 0.250 0.750 0.405
C1 C 0.250 0.250 0.333
C2 C 0.250 0.574 0.210



# LaDy4Cu PBE optimized geometry
# DOS at the Fermi energy: 8.3 states/eV/cell
# ρ: 8.2 Mg/m³
# Calculated volume: 173.5 Å³ per cell
# Uncorrected energy: -4.617 eV/atom
data_LaDy4Cu
_chemical_formula_sum 'La1 Dy4 Cu1'
_cell_length_a 3.565
_cell_length_b 3.565
_cell_length_c 13.652
_cell_angle_alpha 90.00
_cell_angle_beta 90.00
_cell_angle_gamma 90.00
_space_group_name_H-M_alt 'P 4/m m m'
_space_group_IT_number 123
_space_group_name_Hall '-P 4 2'
loop_
_atom_site_label
_atom_site_type_symbol
_atom_site_fract_x
_atom_site_fract_y
_atom_site_fract_z
La1 La 0.000 0.000 0.000
Dy1 Dy 0.000 0.000 0.378
Dy2 Dy 0.500 0.500 0.191
Cu1 Cu 0.500 0.500 0.500



# YMnRu2 PBE optimized geometry
# DOS at the Fermi energy: 8.9 states/eV/cell
# ρ: 8.6 Mg/m³
# Calculated volume: 134.1 Å³ per cell
# Uncorrected energy: -8.289 eV/atom
data_YMnRu2
_chemical_formula_sum 'Y2 Mn2 Ru4'
_cell_length_a 5.715
_cell_length_b 8.795
_cell_length_c 2.925
_cell_angle_alpha 90.00
_cell_angle_beta 114.24
_cell_angle_gamma 90.00
_space_group_name_H-M_alt 'C 1 2/m 1'
_space_group_IT_number 12
loop_
_space_group_symop_operation_xyz
'x,y,z'
'-x,-y,-z'
'-x,y,-z'
'x,-y,z'
'x+1/2,y+1/2,z'
'-x+1/2,-y+1/2,-z'
'-x+1/2,y+1/2,-z'
'x+1/2,-y+1/2,z'
loop_
_atom_site_label
_atom_site_type_symbol
_atom_site_fract_x
_atom_site_fract_y
_atom_site_fract_z
Y1 Y 0.000 0.000 0.000
Mn1 Mn 0.000 0.500 0.000
Ru1 Ru 0.250 0.250 0.500



# CePm3Co2 PBE optimized geometry
# DOS at the Fermi energy: 24.8 states/eV/cell
# ρ: 7.2 Mg/m³
# Calculated volume: 643.3 Å³ per cell
# Uncorrected energy: -5.792 eV/atom
data_CePm3Co2
_chemical_formula_sum 'Ce4 Pm12 Co8'
_cell_length_a 17.043
_cell_length_b 3.904
_cell_length_c 10.885
_cell_angle_alpha 90.00
_cell_angle_beta 117.35
_cell_angle_gamma 90.00
_space_group_name_H-M_alt 'C 1 2/m 1'
_space_group_IT_number 12
loop_
_space_group_symop_operation_xyz
'x,y,z'
'-x,-y,-z'
'-x,y,-z'
'x,-y,z'
'x+1/2,y+1/2,z'
'-x+1/2,-y+1/2,-z'
'-x+1/2,y+1/2,-z'
'x+1/2,-y+1/2,z'
loop_
_atom_site_label
_atom_site_type_symbol
_atom_site_fract_x
_atom_site_fract_y
_atom_site_fract_z
Ce1 Ce 0.090 0.000 0.157
Pm1 Pm 0.049 0.500 0.743
Pm2 Pm 0.163 0.000 0.515
Pm3 Pm 0.243 0.500 0.127
Co1 Co 0.113 0.000 0.966
Co2 Co 0.137 0.500 0.317



# AgIr2Au PBE optimized geometry
# Excess energy over the best structure of this formula in the dataset: 31.5 meV/atom
# DOS at the Fermi energy: 12.8 states/eV/cell
# ρ: 17.8 Mg/m³
# Calculated volume: 193.4 Å³ per cell
# Uncorrected energy: -5.749 eV/atom
data_AgIr2Au
_chemical_formula_sum 'Ag3 Ir6 Au3'
_cell_length_a 2.8074
_cell_length_b 2.8074
_cell_length_c 28.3400
_cell_angle_alpha 90.00
_cell_angle_beta 90.00
_cell_angle_gamma 120.00
_space_group_name_H-M_alt 'R 3 m'
_space_group_IT_number 160
_space_group_name_Hall 'R 3 -2"'
loop_
_atom_site_label
_atom_site_type_symbol
_atom_site_fract_x
_atom_site_fract_y
_atom_site_fract_z
Ag1 Ag 0.0000 0.0000 0.0000
Ir1 Ir 0.0000 0.0000 0.2482
Ir2 Ir 0.0000 0.0000 0.5075
Au1 Au 0.0000 0.0000 0.7551



# Pm2Pr3Pb2 PBE optimized geometry
# DOS at the Fermi energy: 17.2 states/eV/cell
# ρ: 8.0 Mg/m³
# Calculated volume: 467.2 Å³ per cell
# Uncorrected energy: -4.645 eV/atom
data_Pm2Pr3Pb2
_chemical_formula_sum 'Pm4 Pr6 Pb4'
_cell_length_a 17.445
_cell_length_b 3.615
_cell_length_c 8.268
_cell_angle_alpha 90.00
_cell_angle_beta 116.37
_cell_angle_gamma 90.00
_space_group_name_H-M_alt 'C 1 2/m 1'
_space_group_IT_number 12
loop_
_space_group_symop_operation_xyz
'x,y,z'
'-x,-y,-z'
'-x,y,-z'
'x,-y,z'
'x+1/2,y+1/2,z'
'-x+1/2,-y+1/2,-z'
'-x+1/2,y+1/2,-z'
'x+1/2,-y+1/2,z'
loop_
_atom_site_label
_atom_site_type_symbol
_atom_site_fract_x
_atom_site_fract_y
_atom_site_fract_z
Pm1 Pm 0.118 0.000 0.470
Pr1 Pr 0.000 0.000 0.000
Pr2 Pr 0.212 0.000 0.150
Pb1 Pb 0.078 0.500 0.764



# TbGePb2 PBE optimized geometry
# Excess energy over the best structure of this formula in the dataset: 0.0 meV/atom
# DOS at the Fermi energy: 2.1 states/eV/cell
# ρ: 10.2 Mg/m³
# Calculated volume: 105.4 Å³ per cell
# Uncorrected energy: -4.437 eV/atom
data_TbGePb2
_chemical_formula_sum 'Tb1 Ge1 Pb2'
_cell_length_a 4.626
_cell_length_b 4.626
_cell_length_c 4.926
_cell_angle_alpha 90.00
_cell_angle_beta 90.00
_cell_angle_gamma 90.00
_space_group_name_H-M_alt 'P 4/m m m'
_space_group_IT_number 123
_space_group_name_Hall '-P 4 2'
loop_
_atom_site_label
_atom_site_type_symbol
_atom_site_fract_x
_atom_site_fract_y
_atom_site_fract_z
Tb1 Tb 0.000 0.000 0.000
Ge1 Ge 0.500 0.500 0.000
Pb1 Pb 0.000 0.500 0.500



# MgOsBr PBE optimized geometry
# Excess energy over the best structure of this formula in the dataset: 0.0 meV/atom
# DOS at the Fermi energy: 3.3 states/eV/cell
# ρ: 8.0 Mg/m³
# Calculated volume: 60.8 Å³ per cell
# Uncorrected energy: -4.281 eV/atom
# Formation energy from raw total energies: 0.55 eV/atom
data_MgOsBr
_chemical_formula_sum 'Mg1 Os1 Br1'
_cell_length_a 3.0001
_cell_length_b 3.0001
_cell_length_c 7.8014
_cell_angle_alpha 90.00
_cell_angle_beta 90.00
_cell_angle_gamma 120.00
_space_group_name_H-M_alt 'P 3 m 1'
_space_group_IT_number 156
loop_
_space_group_symop_operation_xyz
'x,y,z'
'-y,x-y,z'
'-x+y,-x,z'
'-y,-x,z'
'-x+y,y,z'
'x,x-y,z'
loop_
_atom_site_label
_atom_site_type_symbol
_atom_site_fract_x
_atom_site_fract_y
_atom_site_fract_z
Mg1 Mg 0.0000 0.0000 0.0000
Os1 Os 0.6667 0.3333 0.2681
Br1 Br 0.3333 0.6667 0.7439